Record 1
# La2AgSe, relaxed, DFT PBE
data_La2AgSe
_chemical_formula_sum 'La4 Ag2 Se2'
_space_group_name_H-M_alt 'A m m 2'
_space_group_IT_number 38
_space_group_name_Hall 'A 2 -2'
_cell_length_a 4.7986
_cell_length_b 3.9479
_cell_length_c 11.8869
_cell_angle_alpha 90.00
_cell_angle_beta 90.00
_cell_angle_gamma 90.00
loop_
_atom_site_label
_atom_site_fract_x
_atom_site_fract_y
_atom_site_fract_z
La1 0.0000 0.0000 0.0000
La2 0.5000 0.0000 0.2510
Ag1 0.5000 0.0000 0.5141
Se1 0.0000 0.0000 0.7347
# * D(E_F): 0.85 states/eV/atom


Record 2
# LaAg5Se4, relaxed, DFT PBE
data_LaAg5Se4
_chemical_formula_sum 'La2 Ag10 Se8'
_space_group_name_H-M_alt 'I m m m'
_space_group_IT_number 71
_space_group_name_Hall '-I 2 2'
_cell_length_a 4.3790
_cell_length_b 7.8175
_cell_length_c 14.5320
_cell_angle_alpha 90.00
_cell_angle_beta 90.00
_cell_angle_gamma 90.00
loop_
_atom_site_label
_atom_site_fract_x
_atom_site_fract_y
_atom_site_fract_z
La1 0.0000 0.0000 0.0000
Ag1 0.0000 0.2890 0.3184
Ag2 0.0000 0.5000 0.0000
Se1 0.0000 0.0000 0.2130
Se2 0.0000 0.2290 0.5000
# * D(E_F): 0.07 states/eV/atom


Record 3
# La2AgSe, relaxed, DFT PBE
data_La2AgSe
_chemical_formula_sum 'La2 Ag1 Se1'
_space_group_name_H-M_alt 'P m m m'
_space_group_IT_number 47
_space_group_name_Hall '-P 2 2'
_cell_length_a 3.7532
_cell_length_b 5.1363
_cell_length_c 5.5073
_cell_angle_alpha 90.00
_cell_angle_beta 90.00
_cell_angle_gamma 90.00
loop_
_atom_site_label
_atom_site_fract_x
_atom_site_fract_y
_atom_site_fract_z
La1 0.0000 0.0000 0.0000
La2 0.0000 0.5000 0.5000
Ag1 0.5000 0.0000 0.5000
Se1 0.5000 0.5000 0.0000
# * D(E_F): 0.60 states/eV/atom


Record 4
# LaAg2Se, relaxed, DFT PBE
data_LaAg2Se
_chemical_formula_sum 'La2 Ag4 Se2'
_space_group_name_H-M_alt 'I m m 2'
_space_group_IT_number 44
_space_group_name_Hall 'I 2 -2'
_cell_length_a 4.7969
_cell_length_b 5.4102
_cell_length_c 7.3080
_cell_angle_alpha 90.00
_cell_angle_beta 90.00
_cell_angle_gamma 90.00
loop_
_atom_site_label
_atom_site_fract_x
_atom_site_fract_y
_atom_site_fract_z
La1 0.0000 0.0000 0.0000
Ag1 0.0000 0.0000 0.4933
Ag2 0.0000 0.5000 0.2300
Se1 0.0000 0.5000 0.7863
# * D(E_F): 0.91 states/eV/atom


Record 5
# La2Ag4Se5, relaxed, DFT PBE
data_La2Ag4Se5
_chemical_formula_sum 'La6 Ag12 Se15'
_space_group_name_H-M_alt 'R -3 m'
_space_group_IT_number 166
_space_group_name_Hall '-R 3 2"'
_cell_length_a 4.3657
_cell_length_b 4.3657
_cell_length_c 53.9981
_cell_angle_alpha 90.00
_cell_angle_beta 90.00
_cell_angle_gamma 120.00
loop_
_atom_site_label
_atom_site_fract_x
_atom_site_fract_y
_atom_site_fract_z
La1 0.0000 0.0000 0.1334
Ag1 0.0000 0.0000 0.3102
Ag2 0.0000 0.0000 0.4142
Se1 0.0000 0.0000 0.2305
Se2 0.0000 0.0000 0.3665
Se3 0.0000 0.0000 0.5000
# * D(E_F): 0.42 states/eV/atom


Record 6
# La2AgSe, relaxed, DFT PBE
data_La2AgSe
_chemical_formula_sum 'La8 Ag4 Se4'
_space_group_name_H-M_alt 'F -4 3 m'
_space_group_IT_number 216
_space_group_name_Hall 'F -4 2 3'
_cell_length_a 7.4471
_cell_length_b 7.4471
_cell_length_c 7.4471
_cell_angle_alpha 90.00
_cell_angle_beta 90.00
_cell_angle_gamma 90.00
loop_
_atom_site_label
_atom_site_fract_x
_atom_site_fract_y
_atom_site_fract_z
La1 0.0000 0.0000 0.0000
La2 0.2500 0.2500 0.2500
Ag1 0.0000 0.0000 0.5000
Se1 0.2500 0.2500 0.7500
# * D(E_F): 1.04 states/eV/atom


Record 7
# LaAg4Se, relaxed, DFT PBE
data_LaAg4Se
_chemical_formula_sum 'La4 Ag16 Se4'
_space_group_name_H-M_alt 'F -4 3 m'
_space_group_IT_number 216
_space_group_name_Hall 'F -4 2 3'
_cell_length_a 8.0422
_cell_length_b 8.0422
_cell_length_c 8.0422
_cell_angle_alpha 90.00
_cell_angle_beta 90.00
_cell_angle_gamma 90.00
loop_
_atom_site_label
_atom_site_fract_x
_atom_site_fract_y
_atom_site_fract_z
La1 0.0000 0.0000 0.0000
Ag1 0.1247 0.1247 0.3753
Se1 0.2500 0.2500 0.7500
# * D(E_F): 0.76 states/eV/atom


Record 8
Below is a relaxed La4Ag2Se7 crystal, with properties calculated at the PBE level.

CIF file:
```
data_La4Ag2Se7
_chemical_formula_sum 'La8 Ag4 Se14'
_space_group_name_H-M_alt 'P 1 c 1'
_space_group_IT_number 7
_space_group_name_Hall 'P -2yc'
_cell_length_a 7.5506
_cell_length_b 12.7620
_cell_length_c 8.0217
_cell_angle_alpha 90.00
_cell_angle_beta 109.31
_cell_angle_gamma 90.00
loop_
_atom_site_label
_atom_site_fract_x
_atom_site_fract_y
_atom_site_fract_z
La1 0.0000 0.0573 0.0000
La2 0.4356 0.1438 0.7832
La3 0.6368 0.2127 0.3344
La4 0.9339 0.3711 0.7879
Ag1 0.1525 0.3018 0.3072
Ag2 0.5472 0.4623 0.1607
Se1 0.0129 0.1663 0.6477
Se2 0.2762 0.0737 0.3683
Se3 0.3146 0.3032 0.0382
Se4 0.4985 0.3372 0.5864
Se5 0.6837 0.0112 0.1663
Se6 0.7914 0.2493 0.0241
Se7 0.8855 0.4148 0.4013
```


Record 9
# La2Ag2Se, relaxed, DFT PBE
data_La2Ag2Se
_chemical_formula_sum 'La4 Ag4 Se2'
_space_group_name_H-M_alt 'P 4/m b m'
_space_group_IT_number 127
_space_group_name_Hall '-P 4 2ab'
_cell_length_a 8.1580
_cell_length_b 8.1580
_cell_length_c 4.4075
_cell_angle_alpha 90.00
_cell_angle_beta 90.00
_cell_angle_gamma 90.00
loop_
_atom_site_label
_atom_site_fract_x
_atom_site_fract_y
_atom_site_fract_z
La1 0.1762 0.3238 0.0000
Ag1 0.1212 0.6212 0.5000
Se1 0.0000 0.0000 0.0000
# * distance to the lowest polymorph of the same formula: 0.01 eV/f.u.
# * D(E_F): 0.75 states/eV/atom


Record 10
# LaAg2Se2, relaxed, DFT PBE
data_LaAg2Se2
_chemical_formula_sum 'La2 Ag4 Se4'
_space_group_name_H-M_alt 'I 4/m m m'
_space_group_IT_number 139
_space_group_name_Hall '-I 4 2'
_cell_length_a 3.9772
_cell_length_b 3.9772
_cell_length_c 14.6021
_cell_angle_alpha 90.00
_cell_angle_beta 90.00
_cell_angle_gamma 90.00
loop_
_atom_site_label
_atom_site_fract_x
_atom_site_fract_y
_atom_site_fract_z
La1 0.0000 0.0000 0.0000
Ag1 0.0000 0.5000 0.2500
Se1 0.0000 0.0000 0.3956
# * distance to the lowest polymorph of the same formula: 0.00 eV/f.u.
# * D(E_F): 0.59 states/eV/atom


Record 11
# La6AgSe5, relaxed, DFT PBE
data_La6AgSe5
_chemical_formula_sum 'La12 Ag2 Se10'
_space_group_name_H-M_alt 'C 1 2/m 1'
_space_group_IT_number 12
_space_group_name_Hall '-C 2y'
_cell_length_a 7.5249
_cell_length_b 13.0192
_cell_length_c 7.5045
_cell_angle_alpha 90.00
_cell_angle_beta 109.51
_cell_angle_gamma 90.00
loop_
_atom_site_label
_atom_site_fract_x
_atom_site_fract_y
_atom_site_fract_z
La1 0.2435 0.0000 0.2547
La2 0.2445 0.1713 0.7452
Ag1 0.0000 0.5000 0.0000
Se1 0.0000 0.0000 0.5000
Se2 0.0000 0.1662 0.0000
Se3 0.0000 0.3352 0.5000
# * D(E_F): 0.62 states/eV/atom


Record 12
# La2AgSe, relaxed, DFT PBE
data_La2AgSe
_chemical_formula_sum 'La2 Ag1 Se1'
_space_group_name_H-M_alt 'P 4/m m m'
_space_group_IT_number 123
_space_group_name_Hall '-P 4 2'
_cell_length_a 4.3715
_cell_length_b 4.3715
_cell_length_c 6.3090
_cell_angle_alpha 90.00
_cell_angle_beta 90.00
_cell_angle_gamma 90.00
loop_
_atom_site_label
_atom_site_fract_x
_atom_site_fract_y
_atom_site_fract_z
La1 0.0000 0.0000 0.0000
La2 0.5000 0.5000 0.5000
Ag1 0.0000 0.0000 0.5000
Se1 0.5000 0.5000 0.0000
# * D(E_F): 1.67 states/eV/atom


Record 13
# LaAg2Se, relaxed, DFT PBE
data_LaAg2Se
_chemical_formula_sum 'La2 Ag4 Se2'
_space_group_name_H-M_alt 'C 1 m 1'
_space_group_IT_number 8
_space_group_name_Hall 'C -2y'
_cell_length_a 7.9677
_cell_length_b 4.5869
_cell_length_c 6.6023
_cell_angle_alpha 90.00
_cell_angle_beta 90.54
_cell_angle_gamma 90.00
loop_
_atom_site_label
_atom_site_fract_x
_atom_site_fract_y
_atom_site_fract_z
La1 0.0000 0.0000 0.0000
Ag1 0.1696 0.5000 0.2916
Ag2 0.3377 0.0000 0.3871
Se1 0.3313 0.0000 0.7974
# * D(E_F): 0.43 states/eV/atom


Record 14
# La2AgSe, relaxed, DFT PBE
data_La2AgSe
_chemical_formula_sum 'La8 Ag4 Se4'
_space_group_name_H-M_alt 'C m c m'
_space_group_IT_number 63
_space_group_name_Hall '-C 2c 2'
_cell_length_a 4.2622
_cell_length_b 25.0413
_cell_length_c 4.3812
_cell_angle_alpha 90.00
_cell_angle_beta 90.00
_cell_angle_gamma 90.00
loop_
_atom_site_label
_atom_site_fract_x
_atom_site_fract_y
_atom_site_fract_z
La1 0.0000 0.0718 0.2500
La2 0.0000 0.3122 0.2500
Ag1 0.0000 0.4603 0.2500
Se1 0.0000 0.1918 0.2500
# * D(E_F): 0.88 states/eV/atom


Record 15
# LaAgSe2, relaxed, DFT PBE
data_LaAgSe2
_chemical_formula_sum 'La1 Ag1 Se2'
_space_group_name_H-M_alt 'P m m m'
_space_group_IT_number 47
_space_group_name_Hall '-P 2 2'
_cell_length_a 3.8011
_cell_length_b 3.8658
_cell_length_c 7.2492
_cell_angle_alpha 90.00
_cell_angle_beta 90.00
_cell_angle_gamma 90.00
loop_
_atom_site_label
_atom_site_fract_x
_atom_site_fract_y
_atom_site_fract_z
La1 0.0000 0.0000 0.0000
Ag1 0.0000 0.5000 0.5000
Se1 0.5000 0.5000 0.2260
# * D(E_F): 0.21 states/eV/atom


Record 16
# La3Ag5Se12, relaxed, DFT PBE
data_La3Ag5Se12
_chemical_formula_sum 'La24 Ag40 Se96'
_space_group_name_H-M_alt 'I a -3 d'
_space_group_IT_number 230
_space_group_name_Hall '-I 4bd 2c 3'
_cell_length_a 16.4058
_cell_length_b 16.4058
_cell_length_c 16.4058
_cell_angle_alpha 90.00
_cell_angle_beta 90.00
_cell_angle_gamma 90.00
loop_
_atom_site_label
_atom_site_fract_x
_atom_site_fract_y
_atom_site_fract_z
La1 0.0000 0.2500 0.1250
Ag1 0.0000 0.0000 0.0000
Ag2 0.0000 0.2500 0.3750
Se1 0.0202 0.0611 0.6486
# * D(E_F): 0.86 states/eV/atom


Record 17
Below is a relaxed LaAgSe2 crystal, with properties calculated at the PBE level.

CIF file:
```
data_LaAgSe2
_chemical_formula_sum 'La4 Ag4 Se8'
_space_group_name_H-M_alt 'P 1 21/c 1'
_space_group_IT_number 14
_space_group_name_Hall '-P 2ybc'
_cell_length_a 7.0972
_cell_length_b 7.7619
_cell_length_c 7.5201
_cell_angle_alpha 90.00
_cell_angle_beta 98.75
_cell_angle_gamma 90.00
loop_
_atom_site_label
_atom_site_fract_x
_atom_site_fract_y
_atom_site_fract_z
La1 0.1954 0.0468 0.2983
Ag1 0.4139 0.6641 0.4556
Se1 0.0621 0.7322 0.5041
Se2 0.3981 0.1071 0.7047
```


Record 18
# LaAg2Se, relaxed, DFT PBE
data_LaAg2Se
_chemical_formula_sum 'La1 Ag2 Se1'
_space_group_name_H-M_alt 'P 4 m m'
_space_group_IT_number 99
_space_group_name_Hall 'P 4 -2'
_cell_length_a 3.8998
_cell_length_b 3.8998
_cell_length_c 6.7571
_cell_angle_alpha 90.00
_cell_angle_beta 90.00
_cell_angle_gamma 90.00
loop_
_atom_site_label
_atom_site_fract_x
_atom_site_fract_y
_atom_site_fract_z
La1 0.0000 0.0000 0.0000
Ag1 0.0000 0.0000 0.5485
Ag2 0.5000 0.5000 0.6376
Se1 0.5000 0.5000 0.1681
# * D(E_F): 0.26 states/eV/atom


Record 19
# LaAg2Se, relaxed, DFT PBE
data_LaAg2Se
_chemical_formula_sum 'La2 Ag4 Se2'
_space_group_name_H-M_alt 'C m m m'
_space_group_IT_number 65
_space_group_name_Hall '-C 2 2'
_cell_length_a 5.8674
_cell_length_b 5.9545
_cell_length_c 5.7079
_cell_angle_alpha 90.00
_cell_angle_beta 90.00
_cell_angle_gamma 90.00
loop_
_atom_site_label
_atom_site_fract_x
_atom_site_fract_y
_atom_site_fract_z
La1 0.0000 0.0000 0.0000
Ag1 0.0000 0.2555 0.5000
Se1 0.0000 0.5000 0.0000
# * D(E_F): 0.48 states/eV/atom


Record 20
# LaAg2Se, relaxed, DFT PBE
data_LaAg2Se
_chemical_formula_sum 'La2 Ag4 Se2'
_space_group_name_H-M_alt 'C 1 2/m 1'
_space_group_IT_number 12
_space_group_name_Hall '-C 2y'
_cell_length_a 12.7290
_cell_length_b 4.1241
_cell_length_c 4.1193
_cell_angle_alpha 90.00
_cell_angle_beta 107.91
_cell_angle_gamma 90.00
loop_
_atom_site_label
_atom_site_fract_x
_atom_site_fract_y
_atom_site_fract_z
La1 0.0000 0.0000 0.0000
Ag1 0.2279 0.5000 0.7299
Se1 0.0000 0.5000 0.5000
# * D(E_F): 0.34 states/eV/atom


Record-wise formation energy without anion corrections values, in eV/atom: -0.955, -0.534, -0.934, -0.554, -0.808, -0.238, -0.262, -1.533, -0.658, -0.792, -1.688, -1.005, -0.606, -1.095, -1.100, -0.600, -1.320, -0.649, -0.672, -0.698